1.
Below is an optimized crystal structure of HoAgGeS4, with properties calculated at the GGA-PBE level.

The space group is Imma (No. 74) and the conventional cell measures 7.409, 7.934 and 10.701 Å, with angles of 90.00, 90.00 and 90.00 degrees. The asymmetric unit holds Ho at (0.000, 0.000, 0.000), Ag at (0.250, 0.250, 0.250), Ge at (0.000, 0.250, 0.640), S at (0.000, 0.005, 0.746) and S at (0.245, 0.250, 0.504).

Its crystal system is orthorhombic. For the formation energy (no corrections), the calculation gives -776.2 meV per atom. The density of states at the Fermi level comes out at 0.20 states/eV/atom. The uncorrected energy is -4.856 eV/atom.

2.
Below is an optimized crystal structure of HoScAgGe, with properties calculated at the GGA-PBE level.

The space group is F-43m (No. 216) and the conventional cell measures 6.975, 6.975 and 6.975 Å, with angles of 90.00, 90.00 and 90.00 degrees. The asymmetric unit holds Ho at (0.000, 0.000, 0.000), Sc at (0.000, 0.000, 0.500), Ag at (0.250, 0.250, 0.750) and Ge at (0.250, 0.250, 0.250).

Its crystal system is cubic. The density of states at the Fermi level comes out at 0.90 states/eV/atom. The uncorrected energy is -5.100 eV/atom. The value obtained for the formation energy from the elements is -505 meV/atom.

3.
Below is an optimized crystal structure of SmHoAgGe, with properties calculated at the GGA-PBE level.

The space group is F-43m (No. 216) and the conventional cell measures 7.245, 7.245 and 7.245 Å, with angles of 90.00, 90.00 and 90.00 degrees. The asymmetric unit holds Sm at (0.000, 0.000, 0.000), Ho at (0.000, 0.000, 0.500), Ag at (0.250, 0.250, 0.750) and Ge at (0.250, 0.250, 0.250).

Its crystal system is cubic. The density of states at the Fermi level comes out at 0.92 states/eV/atom. The uncorrected energy is -4.711 eV/atom. The value obtained for the formation energy from the elements is -520 meV/atom.

4.
Below is an optimized crystal structure of TbHoAgGe, with properties calculated at the GGA-PBE level.

The space group is F-43m (No. 216) and the conventional cell measures 7.185, 7.185 and 7.185 Å, with angles of 90.00, 90.00 and 90.00 degrees. The asymmetric unit holds Tb at (0.000, 0.000, 0.000), Ho at (0.000, 0.000, 0.500), Ag at (0.250, 0.250, 0.750) and Ge at (0.250, 0.250, 0.250).

Its crystal system is cubic. The density of states at the Fermi level comes out at 0.89 states/eV/atom. The uncorrected energy is -4.696 eV/atom. The value obtained for the formation energy from the elements is -527 meV/atom.

5.
Below is an optimized crystal structure of Ho8AgGe3Te4, with properties calculated at the GGA-PBE level.

The space group is R-3m (No. 166, hexagonal axes) and the conventional cell measures 8.4634, 8.4634 and 21.1583 Å, with angles of 90.00, 90.00 and 120.00 degrees. The asymmetric unit holds Ho at (0.0000, 0.0000, 0.2394), Ho at (0.0117, 0.5058, 0.7579), Ag at (0.0000, 0.0000, 0.5000), Ge at (0.0000, 0.5000, 0.5000), Te at (0.0000, 0.0000, 0.0000) and Te at (0.0000, 0.5000, 0.0000).

Its crystal system is trigonal. For the formation energy (no corrections), the calculation gives -1045.4 meV per atom. The density of states at the Fermi level comes out at 0.49 states/eV/atom. The uncorrected energy is -5.164 eV/atom.

6.
Below is an optimized crystal structure of AgGeI3, with properties calculated at the GGA-PBE level.

The space group is C2/m (No. 12) and the conventional cell measures 19.335, 4.492 and 8.700 Å, with angles of 90.00, 101.63 and 90.00 degrees. The asymmetric unit holds Ag at (0.078, 0.000, 0.320), Ge at (0.163, 0.500, 0.828), I at (0.010, 0.500, 0.759), I at (0.168, 0.000, 0.079) and I at (0.177, 0.000, 0.604).

Its crystal system is monoclinic. For the formation energy (no corrections), the calculation gives -254.6 meV per atom. The density of states at the Fermi level comes out at 0.00 states/eV/atom. The uncorrected energy is -2.678 eV/atom. The energy above the most stable polymorph in this dataset is 0.000 eV per atom.

7.
Below is an optimized crystal structure of AgGe2I4, with properties calculated at the GGA-PBE level.

The space group is I4/m (No. 87) and the conventional cell measures 8.163, 8.163 and 8.436 Å, with angles of 90.00, 90.00 and 90.00 degrees. The asymmetric unit holds Ag at (0.000, 0.000, 0.000), Ge at (0.000, 0.500, 0.250) and I at (0.182, 0.312, 0.000).

Its crystal system is tetragonal. For the formation energy (no corrections), the calculation gives 64.7 meV per atom. The density of states at the Fermi level comes out at 0.50 states/eV/atom. The uncorrected energy is -2.548 eV/atom.

8.
Below is an optimized crystal structure of AgGe2I2, with properties calculated at the GGA-PBE level.

The space group is I4/mmm (No. 139) and the conventional cell measures 3.889, 3.889 and 18.381 Å, with angles of 90.00, 90.00 and 90.00 degrees. The asymmetric unit holds Ag at (0.000, 0.000, 0.000), Ge at (0.000, 0.500, 0.250) and I at (0.000, 0.000, 0.399).

Its crystal system is tetragonal. For the formation energy (no corrections), the calculation gives 207.0 meV per atom. The density of states at the Fermi level comes out at 0.28 states/eV/atom. The uncorrected energy is -2.830 eV/atom. The energy above the most stable polymorph in this dataset is 0.000 eV per atom.

Which formula does entry 4 have?
TbHoAgGe

Among the records above, which one has the highest density of states at the Fermi level?
SmHoAgGe

uncorrected energy of number 8 (AgGe2I2)?
-2.830 eV/atom